(1)
This record from Alexandria via LeMat-Bulk describes a relaxed La2ZnSe2O2 crystal. The functional is PBE.

Summary:
Its energy relative to the elements, uncorrected is -2.20 eV per atom. As for the space group: No. 139. The calculation puts the relative energy among the computed polymorphs at 154 kJ/mol of formula units.

Lattice parameters (Å, degrees): 4.1402 4.1402 15.4311 90.00 90.00 90.00
Last column: nearest neighbours and their distance in Å.
Fractional coordinates of all 14 atoms:
La1 0.0000 0.0000 0.1130  4 O 2.71
La2 0.0000 0.0000 0.8870  4 O 2.71
La3 0.5000 0.5000 0.3870  4 O 2.71
La4 0.5000 0.5000 0.6130  4 O 2.71
Zn1 0.0000 0.0000 0.5000  4 O 2.07
Zn2 0.5000 0.5000 0.0000  4 O 2.07
Se1 0.0000 0.0000 0.3218  1 Zn 2.75
Se2 0.0000 0.0000 0.6782  1 Zn 2.75
Se3 0.5000 0.5000 0.1782  1 Zn 2.75
Se4 0.5000 0.5000 0.8218  1 Zn 2.75
O1 0.0000 0.5000 0.0000  2 Zn 2.07
O2 0.0000 0.5000 0.5000  2 Zn 2.07
O3 0.5000 0.0000 0.0000  2 Zn 2.07
O4 0.5000 0.0000 0.5000  2 Zn 2.07

---

(2)
This record from Alexandria via LeMat-Bulk describes a relaxed La4SiO2 crystal. The functional is PBE.

Summary:
Its energy relative to the elements, uncorrected is -1.80 eV per atom. As for the space group: No. 63.

Lattice parameters (Å, degrees): 6.5928 6.5928 12.5992 90.00 90.00 144.72
Last column: nearest neighbours and their distance in Å.
Fractional coordinates of all 14 atoms:
La1 0.0000 0.0000 0.0000  4 O 2.67
La2 0.0000 0.0000 0.5000  4 O 2.67
La3 0.2695 0.7305 0.6078  3 O 2.46-2.74
La4 0.2695 0.7305 0.8922  3 O 2.46-2.74
La5 0.4308 0.5692 0.2500  2 O 2.52
La6 0.5692 0.4308 0.7500  2 O 2.52
La7 0.7305 0.2695 0.1078  3 O 2.46-2.74
La8 0.7305 0.2695 0.3922  3 O 2.46-2.74
Si1 0.1083 0.8917 0.2500  6 La 2.99-3.09
Si2 0.8917 0.1083 0.7500  6 La 2.99-3.09
O1 0.3719 0.6281 0.0588  6 La 2.46-2.74
O2 0.3719 0.6281 0.4412  6 La 2.46-2.74
O3 0.6281 0.3719 0.5588  6 La 2.46-2.74
O4 0.6281 0.3719 0.9412  6 La 2.46-2.74

---

(3)
This record from Alexandria via LeMat-Bulk describes a relaxed LaSiO3 crystal. The functional is PBE.

Summary:
Its energy relative to the elements, uncorrected is -2.97 eV per atom. As for the space group: No. 14.

Lattice parameters (Å, degrees): 6.2464 5.6761 11.0406 90.00 112.35 90.00
Last column: nearest neighbours and their distance in Å.
Fractional coordinates of all 20 atoms:
La1 0.2081 0.0488 0.1845  6 O 2.35-2.59
La2 0.2081 0.4512 0.6845  6 O 2.35-2.59
La3 0.7919 0.5488 0.3155  6 O 2.35-2.59
La4 0.7919 0.9512 0.8155  6 O 2.35-2.59
Si1 0.3357 0.5689 0.4139  3 O 1.66-1.67
Si2 0.3357 0.9311 0.9139  3 O 1.66-1.67
Si3 0.6643 0.0689 0.0861  3 O 1.66-1.67
Si4 0.6643 0.4311 0.5861  3 O 1.66-1.67
O1 0.1605 0.6778 0.4808  1 Si 1.66
O2 0.1605 0.8222 0.9808  1 Si 1.66
O3 0.1687 0.1333 0.8115  1 Si 1.67
O4 0.1687 0.3667 0.3115  1 Si 1.67
O5 0.4332 0.7471 0.3273  1 Si 1.66
O6 0.4332 0.7529 0.8273  1 Si 1.66
O7 0.5668 0.2471 0.1727  1 Si 1.66
O8 0.5668 0.2529 0.6727  1 Si 1.66
O9 0.8313 0.6333 0.6885  1 Si 1.67
O10 0.8313 0.8667 0.1885  1 Si 1.67
O11 0.8395 0.1778 0.0192  1 Si 1.66
O12 0.8395 0.3222 0.5192  1 Si 1.66

---

(4)
This record from Alexandria via LeMat-Bulk describes a relaxed La2SiO5 crystal. The functional is PBE.

Summary:
Its energy relative to the elements, uncorrected is -3.34 eV per atom. As for the space group: No. 15. The calculation puts the relative energy among the computed polymorphs at 6 kJ/mol of formula units.

Lattice parameters (Å, degrees): 8.2914 8.2914 11.1338 118.25 118.25 51.24
Last column: nearest neighbours and their distance in Å.
Fractional coordinates of all 32 atoms:
La1 0.0354 0.2600 0.8363  6 O 2.38-2.46
La2 0.2122 0.7155 0.5342  6 O 2.38-2.54
La3 0.2600 0.0354 0.3363  6 O 2.38-2.46
La4 0.2845 0.7878 0.9658  6 O 2.38-2.54
La5 0.7155 0.2122 0.0342  6 O 2.38-2.54
La6 0.7400 0.9646 0.6637  6 O 2.38-2.46
La7 0.7878 0.2845 0.4658  6 O 2.38-2.54
La8 0.9646 0.7400 0.1637  6 O 2.38-2.46
Si1 0.2362 0.4046 0.6931  4 O 1.64-1.66
Si2 0.4046 0.2362 0.1931  4 O 1.64-1.66
Si3 0.5954 0.7638 0.8069  4 O 1.64-1.66
Si4 0.7638 0.5954 0.3069  4 O 1.64-1.66
O1 0.0679 0.3436 0.6697  1 Si 1.64
O2 0.0722 0.8979 0.1073  4 La 2.38-2.51
O3 0.1021 0.9278 0.3927  4 La 2.38-2.51
O4 0.1069 0.6535 0.6821  1 Si 1.66
O5 0.2371 0.3731 0.0726  1 Si 1.65
O6 0.3436 0.0679 0.1697  1 Si 1.64
O7 0.3465 0.8931 0.8179  1 Si 1.66
O8 0.3731 0.2371 0.5726  1 Si 1.65
O9 0.4015 0.4047 0.8531  1 Si 1.66
O10 0.4047 0.4015 0.3531  1 Si 1.66
O11 0.5953 0.5985 0.6469  1 Si 1.66
O12 0.5985 0.5953 0.1469  1 Si 1.66
O13 0.6269 0.7629 0.4274  1 Si 1.65
O14 0.6535 0.1069 0.1821  1 Si 1.66
O15 0.6564 0.9321 0.8303  1 Si 1.64
O16 0.7629 0.6269 0.9274  1 Si 1.65
O17 0.8931 0.3465 0.3179  1 Si 1.66
O18 0.8979 0.0722 0.6073  4 La 2.38-2.51
O19 0.9278 0.1021 0.8927  4 La 2.38-2.51
O20 0.9321 0.6564 0.3303  1 Si 1.64

---

(5)
This record from Alexandria via LeMat-Bulk describes a relaxed La2SiO5 crystal. The functional is PBE.

Summary:
Its energy relative to the elements, uncorrected is -3.28 eV per atom. As for the space group: No. 14. The calculation puts the relative energy among the computed polymorphs at 46 kJ/mol of formula units.

Lattice parameters (Å, degrees): 4.2757 10.5931 10.6057 90.00 90.87 90.00
Last column: nearest neighbours and their distance in Å.
Fractional coordinates of all 32 atoms:
La1 0.2411 0.0623 0.1378  6 O 2.36-2.59
La2 0.2411 0.4377 0.6378  6 O 2.36-2.59
La3 0.2441 0.7101 0.0819  4 O 2.29-2.56
La4 0.2441 0.7899 0.5819  4 O 2.29-2.56
La5 0.7559 0.2101 0.4181  4 O 2.29-2.56
La6 0.7559 0.2899 0.9181  4 O 2.29-2.56
La7 0.7589 0.5623 0.3622  6 O 2.36-2.59
La8 0.7589 0.9377 0.8622  6 O 2.36-2.59
Si1 0.3311 0.1351 0.6989  4 O 1.65-1.68
Si2 0.3311 0.3649 0.1989  4 O 1.65-1.68
Si3 0.6689 0.6351 0.8011  4 O 1.65-1.68
Si4 0.6689 0.8649 0.3011  4 O 1.65-1.68
O1 0.2314 0.2458 0.2951  1 Si 1.68
O2 0.2314 0.2542 0.7951  1 Si 1.68
O3 0.2314 0.5148 0.2202  1 Si 1.66
O4 0.2314 0.9852 0.7202  1 Si 1.66
O5 0.2452 0.5976 0.4824  3 La 2.29-2.45
O6 0.2452 0.9024 0.9824  3 La 2.29-2.45
O7 0.2661 0.1849 0.5536  1 Si 1.65
O8 0.2661 0.3151 0.0536  1 Si 1.65
O9 0.2923 0.6320 0.7633  1 Si 1.65
O10 0.2923 0.8680 0.2633  1 Si 1.65
O11 0.7077 0.1320 0.7367  1 Si 1.65
O12 0.7077 0.3680 0.2367  1 Si 1.65
O13 0.7339 0.6849 0.9464  1 Si 1.65
O14 0.7339 0.8151 0.4464  1 Si 1.65
O15 0.7548 0.0976 0.0176  3 La 2.29-2.45
O16 0.7548 0.4024 0.5176  3 La 2.29-2.45
O17 0.7686 0.0148 0.2798  1 Si 1.66
O18 0.7686 0.4852 0.7798  1 Si 1.66
O19 0.7686 0.7458 0.2049  1 Si 1.68
O20 0.7686 0.7542 0.7049  1 Si 1.68

---

(6)
This record from Alexandria via LeMat-Bulk describes a relaxed La2SiO5 crystal. The functional is PBE.

Summary:
Its energy relative to the elements, uncorrected is -3.30 eV per atom. As for the space group: No. 15. The calculation puts the relative energy among the computed polymorphs at 37 kJ/mol of formula units.

Lattice parameters (Å, degrees): 8.2987 8.2987 11.7506 96.01 96.01 91.37
Last column: nearest neighbours and their distance in Å.
Fractional coordinates of all 48 atoms:
La1 0.1153 0.8363 0.5702  6 O 2.39-2.65
La2 0.1396 0.4783 0.7441  6 O 2.40-2.47
La3 0.1637 0.8847 0.9298  6 O 2.39-2.65
La4 0.2142 0.5020 0.0695  5 O 2.36-2.44
La5 0.4783 0.1396 0.2441  6 O 2.40-2.47
La6 0.4980 0.7858 0.4305  5 O 2.36-2.44
La7 0.5020 0.2142 0.5695  5 O 2.36-2.44
La8 0.5217 0.8604 0.7559  6 O 2.40-2.47
La9 0.7858 0.4980 0.9305  5 O 2.36-2.44
La10 0.8363 0.1153 0.0702  6 O 2.39-2.65
La11 0.8604 0.5217 0.2559  6 O 2.40-2.47
La12 0.8847 0.1637 0.4298  6 O 2.39-2.65
Si1 0.1273 0.8727 0.2500  4 O 1.66-1.67
Si2 0.2346 0.4302 0.4449  4 O 1.64-1.67
Si3 0.4302 0.2346 0.9449  4 O 1.64-1.67
Si4 0.5698 0.7654 0.0551  4 O 1.64-1.67
Si5 0.7654 0.5698 0.5551  4 O 1.64-1.67
Si6 0.8727 0.1273 0.7500  4 O 1.66-1.67
O1 0.0314 0.9307 0.3643  1 Si 1.67
O2 0.0524 0.6151 0.9228  4 La 2.36-2.47
O3 0.0541 0.3783 0.3778  1 Si 1.64
O4 0.0693 0.9686 0.1357  1 Si 1.67
O5 0.0924 0.6761 0.2124  1 Si 1.66
O6 0.2446 0.7554 0.7500  4 La 2.43
O7 0.2501 0.3602 0.5736  1 Si 1.67
O8 0.2598 0.6289 0.4605  1 Si 1.65
O9 0.3239 0.9076 0.2876  1 Si 1.66
O10 0.3402 0.3813 0.8807  1 Si 1.65
O11 0.3602 0.2501 0.0736  1 Si 1.67
O12 0.3711 0.7402 0.0395  1 Si 1.65
O13 0.3783 0.0541 0.8778  1 Si 1.64
O14 0.3813 0.3402 0.3807  1 Si 1.65
O15 0.3849 0.9476 0.5772  4 La 2.36-2.47
O16 0.6151 0.0524 0.4228  4 La 2.36-2.47
O17 0.6187 0.6598 0.6193  1 Si 1.65
O18 0.6217 0.9459 0.1222  1 Si 1.64
O19 0.6289 0.2598 0.9605  1 Si 1.65
O20 0.6398 0.7499 0.9264  1 Si 1.67
O21 0.6598 0.6187 0.1193  1 Si 1.65
O22 0.6761 0.0924 0.7124  1 Si 1.66
O23 0.7402 0.3711 0.5395  1 Si 1.65
O24 0.7499 0.6398 0.4264  1 Si 1.67
O25 0.7554 0.2446 0.2500  4 La 2.43
O26 0.9076 0.3239 0.7876  1 Si 1.66
O27 0.9307 0.0314 0.8643  1 Si 1.67
O28 0.9459 0.6217 0.6222  1 Si 1.64
O29 0.9476 0.3849 0.0772  4 La 2.36-2.47
O30 0.9686 0.0693 0.6357  1 Si 1.67

---

(7)
This record from Alexandria via LeMat-Bulk describes a relaxed La2SiO2 crystal. The functional is PBE.

Summary:
Its energy relative to the elements, uncorrected is -2.31 eV per atom. As for the space group: No. 139.

Lattice parameters (Å, degrees): 3.9930 3.9930 13.8671 90.00 90.00 90.00
Last column: nearest neighbours and their distance in Å.
Fractional coordinates of all 10 atoms:
La1 0.0000 0.0000 0.1595  4 O 2.36
La2 0.0000 0.0000 0.8405  4 O 2.36
La3 0.5000 0.5000 0.3405  4 O 2.36
La4 0.5000 0.5000 0.6595  4 O 2.36
Si1 0.0000 0.0000 0.5000  8 La 3.59, 4 Si 3.99, 8 O 4.00
Si2 0.5000 0.5000 0.0000  8 La 3.59, 4 Si 3.99, 8 O 4.00
O1 0.0000 0.5000 0.2500  4 La 2.36
O2 0.0000 0.5000 0.7500  4 La 2.36
O3 0.5000 0.0000 0.2500  4 La 2.36
O4 0.5000 0.0000 0.7500  4 La 2.36

---

(8)
This record from Alexandria via LeMat-Bulk describes a relaxed LaSiO crystal. The functional is PBE.

Summary:
Its energy relative to the elements, uncorrected is -1.58 eV per atom. As for the space group: No. 38.

Lattice parameters (Å, degrees): 9.0921 3.9175 8.3589 90.00 90.00 90.00
Last column: nearest neighbours and their distance in Å.
Fractional coordinates of all 12 atoms:
La1 0.2147 0.0000 0.0000  2 O 2.32
La2 0.2147 0.5000 0.5000  2 O 2.32
La3 0.7853 0.0000 0.0000  2 O 2.32
La4 0.7853 0.5000 0.5000  2 O 2.32
Si1 0.0000 0.0000 0.2903  6 La 3.11-3.27
Si2 0.0000 0.5000 0.7903  6 La 3.11-3.27
Si3 0.5000 0.0000 0.3877  2 O 1.71
Si4 0.5000 0.5000 0.8877  2 O 1.71
O1 0.3509 0.0000 0.5125  1 Si 1.71
O2 0.3509 0.5000 0.0125  1 Si 1.71
O3 0.6491 0.0000 0.5125  1 Si 1.71
O4 0.6491 0.5000 0.0125  1 Si 1.71

---

(9)
This record from Alexandria via LeMat-Bulk describes a relaxed La6SiO12 crystal. The functional is PBE.

Summary:
Its energy relative to the elements, uncorrected is -3.06 eV per atom. As for the space group: No. 148.

Lattice parameters (Å, degrees): 6.7915 6.7915 6.7915 98.90 98.90 98.90
Last column: nearest neighbours and their distance in Å.
Fractional coordinates of all 19 atoms:
La1 0.0996 0.6416 0.7986  5 O 2.33-2.55
La2 0.2014 0.9004 0.3584  5 O 2.33-2.55
La3 0.3584 0.2014 0.9004  5 O 2.33-2.55
La4 0.6416 0.7986 0.0996  5 O 2.33-2.55
La5 0.7986 0.0996 0.6416  5 O 2.33-2.55
La6 0.9004 0.3584 0.2014  5 O 2.33-2.55
Si1 0.5000 0.5000 0.5000  6 O 1.83
O1 0.0569 0.3232 0.9024  4 La 2.33-2.43
O2 0.0976 0.9431 0.6768  4 La 2.33-2.43
O3 0.2337 0.5253 0.4359  1 Si 1.83
O4 0.3232 0.9024 0.0569  4 La 2.33-2.43
O5 0.4359 0.2337 0.5253  1 Si 1.83
O6 0.4747 0.5641 0.7663  1 Si 1.83
O7 0.5253 0.4359 0.2337  1 Si 1.83
O8 0.5641 0.7663 0.4747  1 Si 1.83
O9 0.6768 0.0976 0.9431  4 La 2.33-2.43
O10 0.7663 0.4747 0.5641  1 Si 1.83
O11 0.9024 0.0569 0.3232  4 La 2.33-2.43
O12 0.9431 0.6768 0.0976  4 La 2.33-2.43

---

(10)
This record from Alexandria via LeMat-Bulk describes a relaxed La3SiO6 crystal. The functional is PBE.

Summary:
Its energy relative to the elements, uncorrected is -3.18 eV per atom. As for the space group: No. 36.

Lattice parameters (Å, degrees): 7.4932 7.4932 5.7486 90.00 90.00 102.48
Last column: nearest neighbours and their distance in Å.
Fractional coordinates of all 20 atoms:
La1 0.1046 0.8954 0.5000  4 O 2.39-2.40
La2 0.2069 0.4135 0.4716  4 O 2.34-2.58
La3 0.4135 0.2069 0.9716  4 O 2.34-2.58
La4 0.5865 0.7931 0.4716  4 O 2.34-2.58
La5 0.7931 0.5865 0.9716  4 O 2.34-2.58
La6 0.8954 0.1046 0.0000  4 O 2.39-2.40
Si1 0.3074 0.6926 0.9229  4 O 1.65-1.67
Si2 0.6926 0.3074 0.4229  4 O 1.65-1.67
O1 0.1066 0.6114 0.7933  1 Si 1.67
O2 0.1462 0.1668 0.7310  4 La 2.34-2.40
O3 0.1668 0.1462 0.2310  4 La 2.34-2.40
O4 0.2851 0.7149 0.2056  1 Si 1.65
O5 0.3886 0.8934 0.7933  1 Si 1.67
O6 0.4455 0.5545 0.8457  1 Si 1.67
O7 0.5545 0.4455 0.3457  1 Si 1.67
O8 0.6114 0.1066 0.2933  1 Si 1.67
O9 0.7149 0.2851 0.7056  1 Si 1.65
O10 0.8332 0.8538 0.7310  4 La 2.34-2.40
O11 0.8538 0.8332 0.2310  4 La 2.34-2.40
O12 0.8934 0.3886 0.2933  1 Si 1.67

---

(11)
This record from Alexandria via LeMat-Bulk describes a relaxed LaSi3O crystal. The functional is PBE.

Summary:
Its energy relative to the elements, uncorrected is -0.32 eV per atom. As for the space group: No. 221. The calculation puts the relative energy among the computed polymorphs at 0 kJ/mol of formula units.

Lattice parameters (Å, degrees): 4.4176 4.4176 4.4176 90.00 90.00 90.00
Last column: nearest neighbours and their distance in Å.
Fractional coordinates of all 5 atoms:
La1 0.0000 0.0000 0.0000  12 Si 3.12
Si1 0.0000 0.5000 0.5000  2 O 2.21
Si2 0.5000 0.0000 0.5000  2 O 2.21
Si3 0.5000 0.5000 0.0000  2 O 2.21
O1 0.5000 0.5000 0.5000  6 Si 2.21

---

(12)
This record from Alexandria via LeMat-Bulk describes a relaxed LaSiO3 crystal. The functional is PBE.

Summary:
Its energy relative to the elements, uncorrected is -2.49 eV per atom. As for the space group: No. 221.

Lattice parameters (Å, degrees): 3.8054 3.8054 3.8054 90.00 90.00 90.00
Last column: nearest neighbours and their distance in Å.
Fractional coordinates of all 5 atoms:
La1 0.0000 0.0000 0.0000  12 O 2.69
Si1 0.5000 0.5000 0.5000  6 O 1.90
O1 0.0000 0.5000 0.5000  2 Si 1.90
O2 0.5000 0.0000 0.5000  2 Si 1.90
O3 0.5000 0.5000 0.0000  2 Si 1.90